# Zr2ReIr, optimized geometry, DFT GGA-PBE
data_Zr2ReIr
_cell_length_a 5.490
_cell_length_b 5.490
_cell_length_c 4.759
_cell_angle_alpha 109.75
_cell_angle_beta 109.75
_cell_angle_gamma 32.98
_space_group_name_H-M_alt 'P 1'
_space_group_IT_number 1
loop_
_space_group_symop_operation_xyz
'x,y,z'
loop_
_atom_site_label
_atom_site_fract_x
_atom_site_fract_y
_atom_site_fract_z
_atom_site_occupancy
Zr1 0.000 0.000 0.000 1
Zr2 0.225 0.225 0.753 1
Re1 0.476 0.476 0.460 1
Ir1 0.759 0.759 0.308 1
# Fermi-level density of states   0.887 states/eV per atom
# Calculated volume   18.3 A^3/atom
# Energy relative to the elements   -0.301 eV/atom
# Total moment   0.00 μB/cell
# DFT total energy   -9.902 eV/atom

# ScC2Se2, optimized geometry, DFT GGA-PBE
data_ScC2Se2
_cell_length_a 6.795
_cell_length_b 6.795
_cell_length_c 3.197
_cell_angle_alpha 90.00
_cell_angle_beta 90.00
_cell_angle_gamma 90.00
_space_group_name_H-M_alt 'P 1'
_space_group_IT_number 1
loop_
_space_group_symop_operation_xyz
'x,y,z'
loop_
_atom_site_label
_atom_site_fract_x
_atom_site_fract_y
_atom_site_fract_z
_atom_site_occupancy
Sc1 0.000 0.000 0.000 1
Sc2 0.500 0.500 0.000 1
C1 0.209 0.291 0.000 1
C2 0.291 0.791 0.000 1
C3 0.709 0.209 0.000 1
C4 0.791 0.709 0.000 1
Se1 0.166 0.666 0.500 1
Se2 0.334 0.166 0.500 1
Se3 0.666 0.834 0.500 1
Se4 0.834 0.334 0.500 1
# Polymorph energy (0 for the lowest one)   163.5 meV/atom
# Fermi-level density of states   0.435 states/eV per atom
# E_form (uncorrected)   0.70 eV/atom
# Calculated volume   14.8 A^3/atom
# Total moment   0.00 μB/cell
# DFT total energy   -5.651 eV/atom

# ZrIn2Pd3, optimized geometry, DFT GGA-PBE
data_ZrIn2Pd3
_cell_length_a 3.419
_cell_length_b 3.419
_cell_length_c 9.515
_cell_angle_alpha 90.00
_cell_angle_beta 90.00
_cell_angle_gamma 90.00
_space_group_name_H-M_alt 'P 1'
_space_group_IT_number 1
loop_
_space_group_symop_operation_xyz
'x,y,z'
loop_
_atom_site_label
_atom_site_fract_x
_atom_site_fract_y
_atom_site_fract_z
_atom_site_occupancy
Zr1 0.000 0.000 0.000 1
In1 0.000 0.000 0.333 1
In2 0.000 0.000 0.667 1
Pd1 0.500 0.500 0.155 1
Pd2 0.500 0.500 0.500 1
Pd3 0.500 0.500 0.845 1
# Polymorph energy (0 for the lowest one)   42.0 meV/atom
# Fermi-level density of states   0.325 states/eV per atom
# Calculated volume   18.5 A^3/atom
# Energy relative to the elements   -0.567 eV/atom
# Total moment   0.00 μB/cell
# DFT total energy   -5.501 eV/atom

# CaPmDy2Sb4, optimized geometry, DFT GGA-PBE
data_CaPmDy2Sb4
_cell_length_a 7.699
_cell_length_b 7.699
_cell_length_c 7.699
_cell_angle_alpha 131.82
_cell_angle_beta 131.82
_cell_angle_gamma 70.51
_space_group_name_H-M_alt 'P 1'
_space_group_IT_number 1
loop_
_space_group_symop_operation_xyz
'x,y,z'
loop_
_atom_site_label
_atom_site_fract_x
_atom_site_fract_y
_atom_site_fract_z
_atom_site_occupancy
Ca1 0.000 0.000 0.000 1
Pm1 0.500 0.500 0.000 1
Dy1 0.250 0.750 0.500 1
Dy2 0.750 0.250 0.500 1
Sb1 0.000 0.500 0.500 1
Sb2 0.252 0.252 0.000 1
Sb3 0.500 0.000 0.500 1
Sb4 0.748 0.748 0.000 1
# Fermi-level density of states   0.649 states/eV per atom
# E_form (uncorrected)   -1.03 eV/atom
# Calculated volume   31.0 A^3/atom
# Total moment   0.00 μB/cell
# DFT total energy   -5.090 eV/atom

# KTa2Ag, optimized geometry, DFT GGA-PBE
data_KTa2Ag
_cell_length_a 11.940
_cell_length_b 11.940
_cell_length_c 11.940
_cell_angle_alpha 160.88
_cell_angle_beta 160.88
_cell_angle_gamma 27.17
_space_group_name_H-M_alt 'P 1'
_space_group_IT_number 1
loop_
_space_group_symop_operation_xyz
'x,y,z'
loop_
_atom_site_label
_atom_site_fract_x
_atom_site_fract_y
_atom_site_fract_z
_atom_site_occupancy
K1 0.000 0.000 0.000 1
K2 0.750 0.250 0.500 1
Ta1 0.144 0.625 0.019 1
Ta2 0.375 0.394 0.519 1
Ta3 0.606 0.125 0.981 1
Ta4 0.875 0.856 0.481 1
Ag1 0.250 0.750 0.500 1
Ag2 0.500 0.500 0.000 1
# Polymorph energy (0 for the lowest one)   777.6 meV/atom
# Fermi-level density of states   0.628 states/eV per atom
# Calculated volume   22.8 A^3/atom
# Energy relative to the elements   1.310 eV/atom
# Total moment   0.00 μB/cell
# DFT total energy   -5.603 eV/atom

# NpU2P, optimized geometry, DFT GGA-PBE
data_NpU2P
_cell_length_a 3.542
_cell_length_b 3.542
_cell_length_c 5.828
_cell_angle_alpha 90.00
_cell_angle_beta 90.00
_cell_angle_gamma 90.00
_space_group_name_H-M_alt 'P 1'
_space_group_IT_number 1
loop_
_space_group_symop_operation_xyz
'x,y,z'
loop_
_atom_site_label
_atom_site_fract_x
_atom_site_fract_y
_atom_site_fract_z
_atom_site_occupancy
Np1 0.000 0.000 0.000 1
U1 0.500 0.500 0.261 1
U2 0.500 0.500 0.739 1
P1 0.000 0.000 0.500 1
# Polymorph energy (0 for the lowest one)   218.4 meV/atom
# Fermi-level density of states   2.490 states/eV per atom
# Calculated volume   18.3 A^3/atom
# Energy relative to the elements   -0.240 eV/atom
# Total moment   0.01 μB/cell
# DFT total energy   -10.471 eV/atom